# HoCu3Si3, optimized geometry, DFT GGA-PBE
data_HoCu3Si3
_chemical_formula_sum 'Ho2 Cu6 Si6'
_cell_length_a 6.379
_cell_length_b 6.379
_cell_length_c 6.379
_cell_angle_alpha 90.00
_cell_angle_beta 90.00
_cell_angle_gamma 90.00
_symmetry_space_group_name_H-M 'P m -3 n'
_symmetry_Int_Tables_number 223
_symmetry_space_group_name_Hall '-P 4n 2 3'
loop_
_atom_site_label
_atom_site_fract_x
_atom_site_fract_y
_atom_site_fract_z
Ho1 0.000 0.000 0.000
Cu1 0.000 0.250 0.500
Si1 0.000 0.500 0.250
# crystal system: cubic
# energy relative to the elements, uncorrected: 0.1506 eV/atom



# AlZn5Pd6, optimized geometry, DFT GGA-PBE
data_AlZn5Pd6
_chemical_formula_sum 'Al2 Zn10 Pd12'
_cell_length_a 7.334
_cell_length_b 13.355
_cell_length_c 4.449
_cell_angle_alpha 90.00
_cell_angle_beta 127.23
_cell_angle_gamma 90.00
_symmetry_space_group_name_H-M 'C 1 2/m 1'
_symmetry_Int_Tables_number 12
_symmetry_space_group_name_Hall '-C 2y'
loop_
_atom_site_label
_atom_site_fract_x
_atom_site_fract_y
_atom_site_fract_z
Al1 0.000 0.000 0.000
Zn1 0.000 0.169 0.500
Zn2 0.000 0.332 0.000
Zn3 0.000 0.500 0.500
Pd1 0.247 0.000 0.747
Pd2 0.248 0.163 0.249
# crystal system: monoclinic
# electronic total energy: -4.045 eV/atom



# Ir2RhO8, optimized geometry, DFT GGA-PBE
data_Ir2RhO8
_chemical_formula_sum 'Ir2 Rh1 O8'
_cell_length_a 5.062
_cell_length_b 5.074
_cell_length_c 7.867
_cell_angle_alpha 90.06
_cell_angle_beta 90.24
_cell_angle_gamma 119.78
_symmetry_space_group_name_H-M 'P -1'
_symmetry_Int_Tables_number 2
_symmetry_space_group_name_Hall '-P 1'
loop_
_atom_site_label
_atom_site_fract_x
_atom_site_fract_y
_atom_site_fract_z
Ir1 0.165 0.333 0.250
Rh1 0.500 0.000 0.500
O1 0.166 0.332 0.030
O2 0.169 0.684 0.645
O3 0.178 0.015 0.357
O4 0.482 0.663 0.357
# crystal system: triclinic
# energy relative to the elements, uncorrected: -0.4018 eV/atom



# Rb2RePd, optimized geometry, DFT GGA-PBE
data_Rb2RePd
_chemical_formula_sum 'Rb8 Re4 Pd4'
_cell_length_a 12.801
_cell_length_b 12.801
_cell_length_c 4.857
_cell_angle_alpha 90.00
_cell_angle_beta 90.00
_cell_angle_gamma 90.00
_symmetry_space_group_name_H-M 'I -4 2 d'
_symmetry_Int_Tables_number 122
_symmetry_space_group_name_Hall 'I -4 2bw'
loop_
_atom_site_label
_atom_site_fract_x
_atom_site_fract_y
_atom_site_fract_z
Rb1 0.075 0.750 0.125
Re1 0.000 0.000 0.500
Pd1 0.000 0.000 0.000
# crystal system: tetragonal
# relative energy among the computed polymorphs: 0 kJ/mol of formula units



no.,Fermi-level density of states (states/eV per cell),spin magnetization (μB/f.u.)
1,7.03,0.000
2,8.60,0.000
3,5.62,0.000
4,13.84,3.287